No. 1
The following is a DFT calculation (PBE) of an optimized crystal structure of BaCd2Ni.

a b c (Å): 5.4553 5.4553 5.4553
angles (deg): 125.71 114.14 90.42
Positions (direct):
1 Cd 0.9445 0.9445 0.0000
2 Cd 0.7099 0.2099 0.5000
3 Ba 0.2479 0.7479 0.5000
4 Ni 0.5977 0.5977 0.0000

Computed properties:
E_tot = -2.35 eV per atom
energy of formation = 0.03 eV per atom

***

No. 2
The following is a DFT calculation (PBE) of an optimized crystal structure of BaCd4Ni.

a b c (Å): 5.9498 5.9498 5.9498
angles (deg): 60.00 60.00 60.00
Positions (direct):
1 Cd 0.3767 0.3767 0.3767
2 Cd 0.3767 0.3767 0.8700
3 Cd 0.3767 0.8700 0.3767
4 Cd 0.8700 0.3767 0.3767
5 Ba 0.0000 0.0000 0.0000
6 Ni 0.7500 0.7500 0.7500

Computed properties:
energy above the lowest structure with this stoichiometry = 105 meV/atom
E_tot = -1.81 eV per atom
energy of formation = 0.08 eV per atom

***

No. 3
The following is a DFT calculation (PBE) of an optimized crystal structure of Ba2CdNi.

a b c (Å): 3.9836 3.9836 8.2764
angles (deg): 90.00 90.00 89.94
Positions (direct):
1 Ba 0.0000 0.0000 0.5291
2 Ba 0.0000 0.0000 0.9709
3 Cd 0.5000 0.5000 0.2500
4 Ni 0.5000 0.5000 0.7500

Computed properties:
E_tot = -2.66 eV per atom
energy of formation = -0.02 eV per atom

***

No. 4
The following is a DFT calculation (PBE) of an optimized crystal structure of Ba2Cd4Ni.

a b c (Å): 5.1115 5.1115 9.5964
angles (deg): 74.55 74.55 90.00
Positions (direct):
1 Cd 0.0000 0.5000 0.0000
2 Cd 0.1420 0.1420 0.7161
3 Cd 0.8580 0.8580 0.2839
4 Cd 0.5000 0.0000 0.0000
5 Ba 0.3480 0.3480 0.3040
6 Ba 0.6520 0.6520 0.6960
7 Ni 0.0000 0.0000 0.0000

Computed properties:
E_tot = -2.04 eV per atom
energy of formation = -0.15 eV per atom

***

No. 5
The following is a DFT calculation (PBE) of an optimized crystal structure of Ba2CdNi.

a b c (Å): 6.9002 6.9002 6.9002
angles (deg): 146.96 132.74 58.87
Positions (direct):
1 Ni 0.2790 0.7790 0.5000
2 Ba 0.7414 0.2414 0.5000
3 Ba 0.0474 0.0474 0.0000
4 Cd 0.4322 0.4322 0.0000

Computed properties:
E_tot = -2.61 eV per atom
energy of formation = 0.03 eV per atom

***

No. 6
The following is a DFT calculation (PBE) of an optimized crystal structure of BaCd2Ni.

a b c (Å): 4.2986 4.2991 6.2763
angles (deg): 89.93 90.00 90.00
Positions (direct):
1 Ba 0.5000 0.8746 0.6784
2 Cd 0.5000 0.3751 0.1914
3 Cd 0.0000 0.8752 0.1916
4 Ni 0.0000 0.3751 0.4386

Computed properties:
E_tot = -2.40 eV per atom
energy of formation = -0.01 eV per atom

***

No. 7
The following is a DFT calculation (PBE) of an optimized crystal structure of Ba6Cd2Ni.

a b c (Å): 8.0301 9.1136 11.6648
angles (deg): 90.00 90.05 90.00
Positions (direct):
1 Ba 0.1613 0.3037 0.5578
2 Ba 0.6184 0.4774 0.7504
3 Ba 0.8816 0.9774 0.7496
4 Ba 0.3223 0.8309 0.5560
5 Ba 0.3387 0.8037 0.9422
6 Ba 0.6613 0.1963 0.0578
7 Ba 0.1777 0.3309 0.9440
8 Ba 0.8223 0.6691 0.0560
9 Ba 0.6777 0.1691 0.4440
10 Ba 0.8387 0.6963 0.4422
11 Ba 0.1184 0.0226 0.2504
12 Ba 0.3816 0.5226 0.2496
13 Cd 0.4518 0.1128 0.7548
14 Cd 0.9518 0.3872 0.2548
15 Cd 0.5482 0.8872 0.2452
16 Cd 0.0482 0.6128 0.7452
17 Ni 0.0000 0.0000 0.5000
18 Ni 0.5000 0.5000 0.0000

Computed properties:
E_tot = -2.25 eV per atom
energy of formation = -0.12 eV per atom

***

No. 8
The following is a DFT calculation (PBE) of an optimized crystal structure of BaCd2Ni.

a b c (Å): 6.5811 6.5811 6.5811
angles (deg): 41.18 41.18 41.18
Positions (direct):
1 Ba 0.7500 0.7500 0.7500
2 Ni 0.2500 0.2500 0.2500
3 Cd 0.5496 0.5496 0.5496
4 Cd 0.9504 0.9504 0.9504

Computed properties:
E_tot = -2.47 eV per atom
energy of formation = -0.09 eV per atom

***

No. 9
The following is a DFT calculation (PBE) of an optimized crystal structure of BaCd2Ni.

a b c (Å): 5.4724 5.4724 9.5432
angles (deg): 73.34 73.34 90.00
Positions (direct):
1 Ba 0.0000 0.0000 0.0000
2 Ba 0.7500 0.2500 0.5000
3 Cd 0.8750 0.6247 0.7500
4 Cd 0.3753 0.6250 0.2500
5 Cd 0.3750 0.6253 0.7500
6 Cd 0.3747 0.1250 0.2500
7 Ni 0.5000 0.5000 0.0000
8 Ni 0.2500 0.7500 0.5000

Computed properties:
E_tot = -2.32 eV per atom
energy of formation = 0.07 eV per atom

***

No. 10
The following is a DFT calculation (PBE) of an optimized crystal structure of Ba6CdNi2.

a b c (Å): 9.8847 9.8847 9.8847
angles (deg): 107.07 108.65 112.75
Positions (direct):
1 Ni 0.6026 0.0000 0.6026
2 Ni 0.3974 0.0000 0.3974
3 Ni 0.5000 0.3990 0.8990
4 Ni 0.5000 0.6010 0.1010
5 Cd 0.0000 0.0000 0.0000
6 Cd 0.0000 0.5000 0.5000
7 Ba 0.1217 0.2996 0.8221
8 Ba 0.3066 0.6290 0.3224
9 Ba 0.7927 0.7846 0.5773
10 Ba 0.4775 0.2996 0.1779
11 Ba 0.8783 0.7004 0.1779
12 Ba 0.6934 0.0158 0.3224
13 Ba 0.5225 0.7004 0.8221
14 Ba 0.2073 0.7846 0.9919
15 Ba 0.6934 0.3710 0.6776
16 Ba 0.2073 0.2154 0.4227
17 Ba 0.3066 0.9842 0.6776
18 Ba 0.7927 0.2154 0.0081

Computed properties:
E_tot = -2.70 eV per atom
energy of formation = -0.03 eV per atom

***

No. 11
The following is a DFT calculation (PBE) of an optimized crystal structure of Ba2CdNi2.

a b c (Å): 6.1112 6.1112 5.8105
angles (deg): 58.27 58.27 90.00
Positions (direct):
1 Ni 0.6556 0.6556 0.6888
2 Ni 0.3444 0.3444 0.3112
3 Ba 0.2500 0.7500 0.5000
4 Ba 0.7500 0.2500 0.5000
5 Cd 0.0000 0.0000 0.0000

Computed properties:
E_tot = -3.16 eV per atom
energy of formation = 0.10 eV per atom

***

No. 12
The following is a DFT calculation (PBE) of an optimized crystal structure of Ba2CdNi.

a b c (Å): 8.8230 8.8230 7.3033
angles (deg): 52.84 52.84 90.00
Positions (direct):
1 Ba 0.3750 0.4314 0.7500
2 Ba 0.5686 0.1250 0.2500
3 Ba 0.8750 0.8186 0.7500
4 Ba 0.1814 0.6250 0.2500
5 Ni 0.5000 0.5000 0.0000
6 Ni 0.2500 0.7500 0.5000
7 Cd 0.7500 0.2500 0.5000
8 Cd 0.0000 0.0000 0.0000

Computed properties:
E_tot = -2.46 eV per atom
energy of formation = 0.18 eV per atom

***

no.,DOS(E_F) (states/eV/atom)
1,0.5869
2,0.1724
3,0.7501
4,0.9668
5,1.0496
6,0.2873
7,1.1338
8,0.6020
9,0.5525
10,1.0515
11,0.8923
12,1.2239